The following is a DFT calculation (PBE) of MgBe2Re after structural relaxation.

Summary:
mass density	6978	kg/m3
electronic total energy	-5.018	eV per atom
N(E_F)	0.651	states/eV per atom
formation energy from the elements	356	meV/atom

Cell lengths 8.461, 8.461, 8.461 Å; angles 18.70, 18.70, 18.70 degrees
Positions (direct):
Mg 0.250 0.250 0.250
Be 0.007 0.007 0.007
Be 0.493 0.493 0.493
Re 0.750 0.750 0.750